No. 1
{
  "formula": "MgSbI2O",
  "functional": "PBE",
  "state": "relaxed",
  "space_group": "No. 123",
  "rho_kg_m3": 5387,
  "relative_energy_mev_per_atom": 568,
  "cell": [[-1.530, -5.049, 0.042], [4.419, -1.360, -2.541], [2.132, -0.613, 4.035]],
  "species": ["Mg", "I", "I", "Sb", "O"],
  "fractional_positions": [[0.500, 0.500, 0.500], [0.000, 0.500, 0.000], [0.500, 0.000, 0.000], [0.000, 0.000, 0.500], [0.000, 0.000, 0.000]]
}

***

No. 2
{
  "formula": "MgScIO2",
  "functional": "PBE",
  "state": "relaxed",
  "space_group": "No. 123",
  "rho_kg_m3": 3843,
  "relative_energy_mev_per_atom": 0,
  "cell": [[-3.136, -2.634, 0.316], [-0.198, -0.256, -4.095], [3.762, -4.468, 0.098]],
  "species": ["Mg", "O", "O", "Sc", "I"],
  "fractional_positions": [[0.500, 0.500, 0.500], [0.000, 0.500, 0.000], [0.500, 0.000, 0.000], [0.000, 0.000, 0.000], [0.000, 0.000, 0.500]]
}

***

No. 3
{
  "formula": "MgScIO2",
  "functional": "PBE",
  "state": "relaxed",
  "space_group": "No. 123",
  "rho_kg_m3": 4363,
  "relative_energy_mev_per_atom": 557,
  "cell": [[4.073, 0.000, 0.000], [0.000, 4.073, 0.000], [0.000, 0.000, 5.234]],
  "species": ["Mg", "I", "O", "O", "Sc"],
  "fractional_positions": [[0.000, 0.000, 0.000], [0.000, 0.000, 0.500], [0.000, 0.500, 0.000], [0.500, 0.000, 0.000], [0.500, 0.500, 0.500]]
}

***

No. 4
{
  "formula": "MgScI2O",
  "functional": "PBE",
  "state": "relaxed",
  "space_group": "No. 123",
  "rho_kg_m3": 4032,
  "relative_energy_mev_per_atom": 0,
  "cell": [[-1.924, 5.298, 2.012], [-2.471, -2.696, 4.738], [3.322, 0.451, 1.989]],
  "species": ["O", "Mg", "I", "I", "Sc"],
  "fractional_positions": [[0.000, 0.000, 0.500], [0.500, 0.500, 0.500], [0.500, 0.000, 0.000], [0.000, 0.500, 0.000], [0.000, 0.000, 0.000]]
}

***

No. 5
{
  "formula": "MgScI2O",
  "functional": "PBE",
  "state": "relaxed",
  "space_group": "No. 123",
  "rho_kg_m3": 4572,
  "relative_energy_mev_per_atom": 446,
  "cell": [[-5.157, 2.529, 0.153], [-2.448, -4.883, -1.784], [-0.425, -1.081, 3.544]],
  "species": ["O", "Mg", "Sc", "I", "I"],
  "fractional_positions": [[0.000, 0.000, 0.500], [0.000, 0.000, 0.000], [0.500, 0.500, 0.500], [0.500, 0.000, 0.000], [0.000, 0.500, 0.000]]
}

***

No. 6
{
  "formula": "MgSeIO2",
  "functional": "PBE",
  "state": "relaxed",
  "space_group": "No. 123",
  "rho_kg_m3": 3608,
  "relative_energy_mev_per_atom": 0,
  "cell": [[4.008, 0.000, 0.000], [0.000, 4.008, 0.000], [0.000, 0.000, 7.512]],
  "species": ["O", "O", "Se", "Mg", "I"],
  "fractional_positions": [[0.000, 0.500, 0.000], [0.500, 0.000, 0.000], [0.500, 0.500, 0.500], [0.000, 0.000, 0.000], [0.000, 0.000, 0.500]]
}

***

No. 7
{
  "formula": "MgSeI2O",
  "functional": "PBE",
  "state": "relaxed",
  "space_group": "No. 123",
  "rho_kg_m3": 4580,
  "relative_energy_mev_per_atom": 144,
  "cell": [[5.914, 0.000, 0.000], [0.000, 5.914, 0.000], [0.000, 0.000, 3.867]],
  "species": ["Se", "Mg", "O", "I", "I"],
  "fractional_positions": [[0.000, 0.000, 0.000], [0.500, 0.500, 0.500], [0.000, 0.000, 0.500], [0.000, 0.500, 0.000], [0.500, 0.000, 0.000]]
}

***

No. 8
{
  "formula": "MgSeIO2",
  "functional": "PBE",
  "state": "relaxed",
  "space_group": "No. 123",
  "rho_kg_m3": 4608,
  "relative_energy_mev_per_atom": 138,
  "cell": [[4.048, 0.000, 0.000], [0.000, 4.048, 0.000], [0.000, 0.000, 5.766]],
  "species": ["Mg", "I", "Se", "O", "O"],
  "fractional_positions": [[0.500, 0.500, 0.500], [0.000, 0.000, 0.500], [0.000, 0.000, 0.000], [0.500, 0.000, 0.000], [0.000, 0.500, 0.000]]
}

***

No. 9
{
  "formula": "MgSeI2O",
  "functional": "PBE",
  "state": "relaxed",
  "space_group": "No. 123",
  "rho_kg_m3": 4928,
  "relative_energy_mev_per_atom": 50,
  "cell": [[5.781, 0.000, 0.000], [0.000, 3.761, 0.000], [0.000, 0.000, 5.781]],
  "species": ["I", "I", "Mg", "O", "Se"],
  "fractional_positions": [[0.000, 0.000, 0.500], [0.500, 0.000, 0.000], [0.000, 0.500, 0.000], [0.000, 0.000, 0.000], [0.500, 0.500, 0.500]]
}

***

No. 10
{
  "formula": "MgSeI2O",
  "functional": "PBE",
  "state": "relaxed",
  "space_group": "No. 123",
  "rho_kg_m3": 4945,
  "relative_energy_mev_per_atom": 0,
  "cell": [[-5.487, 0.120, -1.847], [0.380, -5.582, -1.491], [-1.169, -0.990, 3.408]],
  "species": ["Mg", "O", "Se", "I", "I"],
  "fractional_positions": [[0.000, 0.000, 0.000], [0.000, 0.000, 0.500], [0.500, 0.500, 0.500], [0.500, 0.000, 0.000], [0.000, 0.500, 0.000]]
}

***

No. 11
{
  "formula": "MgSiI2O",
  "functional": "PBE",
  "state": "relaxed",
  "space_group": "No. 123",
  "rho_kg_m3": 4306,
  "relative_energy_mev_per_atom": 238,
  "cell": [[5.748, 0.000, 0.000], [0.000, 5.748, 0.000], [0.000, 0.000, 3.761]],
  "species": ["Si", "Mg", "I", "I", "O"],
  "fractional_positions": [[0.500, 0.500, 0.500], [0.000, 0.000, 0.000], [0.500, 0.000, 0.000], [0.000, 0.500, 0.000], [0.000, 0.000, 0.500]]
}

***

No. 12
{
  "formula": "MgSiIO2",
  "functional": "PBE",
  "state": "relaxed",
  "space_group": "No. 123",
  "rho_kg_m3": 4340,
  "relative_energy_mev_per_atom": 0,
  "cell": [[3.754, 0.000, 0.000], [0.000, 3.754, 0.000], [0.000, 0.000, 5.735]],
  "species": ["O", "O", "Si", "Mg", "I"],
  "fractional_positions": [[0.000, 0.500, 0.000], [0.500, 0.000, 0.000], [0.000, 0.000, 0.000], [0.500, 0.500, 0.500], [0.000, 0.000, 0.500]]
}

***

No. 13
{
  "formula": "MgSiIO2",
  "functional": "PBE",
  "state": "relaxed",
  "space_group": "No. 123",
  "rho_kg_m3": 3858,
  "relative_energy_mev_per_atom": 564,
  "cell": [[-2.854, 0.716, 2.736], [-1.027, -3.884, -0.055], [3.695, -1.035, 4.125]],
  "species": ["O", "O", "I", "Si", "Mg"],
  "fractional_positions": [[0.500, 0.000, 0.000], [0.000, 0.500, 0.000], [0.000, 0.000, 0.500], [0.500, 0.500, 0.500], [0.000, 0.000, 0.000]]
}

***

No. 14
{
  "formula": "MgSiI2O",
  "functional": "PBE",
  "state": "relaxed",
  "space_group": "No. 123",
  "rho_kg_m3": 4469,
  "relative_energy_mev_per_atom": 0,
  "cell": [[5.771, 0.000, 0.000], [0.000, 5.771, 0.000], [0.000, 0.000, 3.594]],
  "species": ["O", "Mg", "Si", "I", "I"],
  "fractional_positions": [[0.000, 0.000, 0.500], [0.500, 0.500, 0.500], [0.000, 0.000, 0.000], [0.000, 0.500, 0.000], [0.500, 0.000, 0.000]]
}

***

No. 15
{
  "formula": "MgSnIO2",
  "functional": "PBE",
  "state": "relaxed",
  "space_group": "No. 123",
  "rho_kg_m3": 4591,
  "relative_energy_mev_per_atom": 0,
  "cell": [[-0.958, -2.700, -2.961], [-2.006, -2.312, 2.758], [-5.415, 3.252, -1.213]],
  "species": ["I", "Mg", "O", "O", "Sn"],
  "fractional_positions": [[0.000, 0.000, 0.500], [0.500, 0.500, 0.500], [0.500, 0.000, 0.000], [0.000, 0.500, 0.000], [0.000, 0.000, 0.000]]
}

***

No. 16
{
  "formula": "MgSnIO2",
  "functional": "PBE",
  "state": "relaxed",
  "space_group": "No. 123",
  "rho_kg_m3": 4981,
  "relative_energy_mev_per_atom": 94,
  "cell": [[4.255, 0.000, 0.000], [0.000, 4.255, 0.000], [0.000, 0.000, 5.559]],
  "species": ["I", "Mg", "Sn", "O", "O"],
  "fractional_positions": [[0.000, 0.000, 0.500], [0.000, 0.000, 0.000], [0.500, 0.500, 0.500], [0.000, 0.500, 0.000], [0.500, 0.000, 0.000]]
}

***

No. 17
{
  "formula": "Sr2MgIO6",
  "functional": "PBE",
  "state": "relaxed",
  "total_energy_ev_per_atom": -5.469,
  "space_group": "No. 166",
  "rho_kg_m3": 4872,
  "cell": [[5.784, 0.000, 0.000], [2.892, 5.009, 0.000], [2.892, 1.670, 9.940]],
  "species": ["Mg", "Mg", "O", "O", "O", "O", "O", "O", "O", "O", "O", "O", "O", "O", "Sr", "Sr", "Sr", "Sr", "I", "I"],
  "fractional_positions": [[0.408, 0.408, 0.776], [0.592, 0.592, 0.224], [0.291, 0.793, 0.124], [0.709, 0.207, 0.876], [0.615, 0.156, 0.614], [0.385, 0.844, 0.386], [0.615, 0.615, 0.614], [0.156, 0.615, 0.614], [0.207, 0.709, 0.876], [0.793, 0.793, 0.124], [0.844, 0.385, 0.386], [0.793, 0.291, 0.124], [0.385, 0.385, 0.386], [0.207, 0.207, 0.876], [0.703, 0.703, 0.891], [0.878, 0.878, 0.366], [0.297, 0.297, 0.109], [0.122, 0.122, 0.634], [0.500, 0.500, 0.500], [0.000, 0.000, 0.000]]
}

***

No. 18
{
  "formula": "SrMgIO2",
  "functional": "PBE",
  "state": "relaxed",
  "space_group": "No. 123",
  "rho_kg_m3": 3289,
  "relative_energy_mev_per_atom": 622,
  "cell": [[4.593, 0.000, 0.000], [0.000, 4.593, 0.000], [0.000, 0.000, 6.480]],
  "species": ["Sr", "I", "Mg", "O", "O"],
  "fractional_positions": [[0.000, 0.000, 0.000], [0.000, 0.000, 0.500], [0.500, 0.500, 0.500], [0.500, 0.000, 0.000], [0.000, 0.500, 0.000]]
}

***

No. 19
{
  "formula": "SrMgIO6",
  "functional": "PBE",
  "state": "relaxed",
  "total_energy_ev_per_atom": -5.289,
  "space_group": "No. 149",
  "rho_kg_m3": 4214,
  "cell": [[5.348, 0.000, 0.000], [2.674, 4.632, 0.000], [0.000, 0.000, 5.326]],
  "species": ["O", "O", "O", "O", "O", "O", "Mg", "I", "Sr"],
  "fractional_positions": [[0.613, 0.358, 0.702], [0.030, 0.358, 0.298], [0.358, 0.613, 0.298], [0.029, 0.613, 0.702], [0.613, 0.030, 0.298], [0.358, 0.030, 0.702], [0.667, 0.667, 0.500], [0.333, 0.333, 0.500], [0.000, 0.000, 0.000]]
}

***

No. 20
{
  "formula": "SrMgIO2",
  "functional": "PBE",
  "state": "relaxed",
  "space_group": "No. 123",
  "rho_kg_m3": 4365,
  "relative_energy_mev_per_atom": 0,
  "cell": [[-2.796, 2.120, 2.554], [-2.636, 0.610, -3.393], [-2.542, -4.710, 1.128]],
  "species": ["O", "O", "I", "Mg", "Sr"],
  "fractional_positions": [[0.000, 0.500, 0.000], [0.500, 0.000, 0.000], [0.000, 0.000, 0.500], [0.000, 0.000, 0.000], [0.500, 0.500, 0.500]]
}